## CaSc2IrO8 (GGA-PBE)

Data for CaSc2IrO8 after structural relaxation.

Cell lengths 4.8734, 4.8554, 6.5694 Å; angles 90.00, 90.00, 89.70 degrees
Element x y z (fractional)
Sc 0.5000 0.5000 0.2624
O 0.8065 0.1956 0.7964
Ir 0.0000 0.0000 0.0000
O 0.8065 0.1956 0.2036
O 0.6800 0.6818 0.5000
O 0.3200 0.3182 0.5000
Sc 0.5000 0.5000 0.7376
O 0.1935 0.8044 0.7964
O 0.7203 0.7215 0.0000
O 0.2797 0.2785 0.0000
O 0.1935 0.8044 0.2036
Ca 0.0000 0.0000 0.5000

## Properties
As for the formation energy from raw total energies: -2.074 eV per atom.


## CaSiIrO6 (GGA-PBE)

Data for CaSiIrO6 after structural relaxation.

Cell lengths 4.9867, 4.9867, 10.1359 Å; angles 90.00, 90.00, 120.00 degrees
Element x y z (fractional)
O 0.3823 0.3592 0.3505
O 0.3592 0.9769 0.6495
O 0.6408 0.6177 0.1495
O 0.0231 0.6408 0.8505
Ir 0.3333 0.6667 0.2500
Ca 0.0000 0.0000 0.5000
O 0.6408 0.0231 0.3505
O 0.3592 0.3823 0.8505
O 0.6177 0.9769 0.8505
O 0.9769 0.6177 0.3505
O 0.9769 0.3592 0.1495
O 0.6177 0.6408 0.6495
Ir 0.6667 0.3333 0.7500
O 0.0231 0.3823 0.6495
Si 0.3333 0.6667 0.7500
O 0.3823 0.0231 0.1495
Ca 0.0000 0.0000 0.0000
Si 0.6667 0.3333 0.2500

## Properties
As for the formation energy from raw total energies: -1.865 eV per atom.


## CaSi2IrO8 (GGA-PBE)

Data for CaSi2IrO8 after structural relaxation.

Cell lengths 5.2815, 5.2815, 6.5815 Å; angles 90.00, 90.00, 120.00 degrees
Element x y z (fractional)
Si 0.3333 0.6667 0.7335
O 0.1646 0.8354 0.8173
O 0.6667 0.3333 0.5088
O 0.6708 0.8354 0.8173
Si 0.6667 0.3333 0.2665
O 0.8354 0.6708 0.1827
O 0.1646 0.3292 0.8173
Ca 0.0000 0.0000 0.5000
O 0.3333 0.6667 0.4912
O 0.3292 0.1646 0.1827
O 0.8354 0.1646 0.1827
Ir 0.0000 0.0000 0.0000

## Properties
As for the formation energy from raw total energies: -1.877 eV per atom.


## CaSmIrO6 (GGA-PBE)

Data for CaSmIrO6 after structural relaxation.

Cell lengths 5.6532, 5.6532, 9.3957 Å; angles 90.00, 90.00, 120.00 degrees
Element x y z (fractional)
O 0.6690 0.0524 0.3654
Ir 0.3333 0.6667 0.7500
O 0.0524 0.6690 0.8654
O 0.9476 0.6166 0.3654
Sm 0.3333 0.6667 0.2500
O 0.3834 0.3310 0.3654
O 0.3310 0.3834 0.8654
Ca 0.0000 0.0000 0.5000
O 0.6166 0.6690 0.6346
Ca 0.0000 0.0000 0.0000
O 0.6166 0.9476 0.8654
O 0.0524 0.3834 0.6346
O 0.3310 0.9476 0.6346
O 0.9476 0.3310 0.1346
O 0.3834 0.0524 0.1346
Ir 0.6667 0.3333 0.2500
Sm 0.6667 0.3333 0.7500
O 0.6690 0.6166 0.1346

## Properties
As for the formation energy from raw total energies: -1.864 eV per atom.


## Ca2SnIrO8 (GGA-PBE)

Data for Ca2SnIrO8 after structural relaxation.

Cell lengths 5.0752, 5.0685, 6.5873 Å; angles 90.00, 90.00, 92.70 degrees
Element x y z (fractional)
O 0.7206 0.7205 0.5000
Ca 0.5000 0.5000 0.2517
O 0.8253 0.1747 0.2188
O 0.1747 0.8253 0.2189
Sn 0.0000 0.0000 0.5000
O 0.8253 0.1747 0.7811
O 0.2794 0.2795 0.5000
O 0.2636 0.2641 0.0000
O 0.1747 0.8253 0.7812
Ir 0.0000 0.0000 0.0000
O 0.7364 0.7359 0.0000
Ca 0.5000 0.5000 0.7483

## Properties
As for the formation energy from raw total energies: -1.523 eV per atom.


## Ca2SnIrO6 (GGA-PBE)

Data for Ca2SnIrO6 after structural relaxation.

Cell lengths 5.7099, 5.5076, 9.5603 Å; angles 55.53, 90.00, 90.00 degrees
Element x y z (fractional)
Ca 0.4420 0.2676 0.2491
O 0.7018 0.6352 0.0554
O 0.7982 0.6352 0.5554
Sn 0.5000 0.0000 0.0000
O 0.4599 0.1470 0.7453
Ca 0.9420 0.7324 0.2509
Ca 0.0580 0.2676 0.7491
O 0.2018 0.3648 0.4446
O 0.9599 0.8530 0.7547
O 0.3024 0.7429 0.5565
O 0.5401 0.8530 0.2547
Ir 0.0000 0.5000 0.0000
O 0.6976 0.2571 0.4435
Sn 0.0000 0.0000 0.5000
O 0.8024 0.2571 0.9435
Ir 0.5000 0.5000 0.5000
O 0.1976 0.7429 0.0565
Ca 0.5580 0.7324 0.7509
O 0.2982 0.3648 0.9446
O 0.0401 0.1470 0.2453

## Properties
As for the formation energy from raw total energies: -1.909 eV per atom.


## CaSnIrO6 (GGA-PBE)

Data for CaSnIrO6 after structural relaxation.

Cell lengths 5.3622, 5.3622, 9.9965 Å; angles 90.00, 90.00, 120.00 degrees
Element x y z (fractional)
O 0.3749 0.0199 0.1408
O 0.6251 0.6450 0.6408
O 0.9801 0.6251 0.3592
O 0.3550 0.9801 0.6408
Ca 0.0000 0.0000 0.0000
O 0.3749 0.3550 0.3592
O 0.9801 0.3550 0.1408
Sn 0.3333 0.6667 0.2500
Ir 0.6667 0.3333 0.2500
Sn 0.6667 0.3333 0.7500
O 0.0199 0.3749 0.6408
O 0.3550 0.3749 0.8592
O 0.6450 0.6251 0.1408
O 0.0199 0.6450 0.8592
O 0.6450 0.0199 0.3592
Ca 0.0000 0.0000 0.5000
O 0.6251 0.9801 0.8592
Ir 0.3333 0.6667 0.7500

## Properties
As for the formation energy from raw total energies: -1.497 eV per atom.


## SrCa2IrO6 (GGA-PBE)

Data for SrCa2IrO6 after structural relaxation.

Cell lengths 5.6339, 6.0690, 8.2627 Å; angles 90.00, 89.22, 90.00 degrees
Element x y z (fractional)
O 0.1540 0.2387 0.0957
Ir 0.0000 0.5000 0.0000
O 0.8460 0.7613 0.9043
O 0.3774 0.9088 0.7146
O 0.7076 0.3386 0.9651
Sr 0.0000 0.5000 0.5000
O 0.7924 0.8386 0.5349
O 0.2924 0.6614 0.0349
O 0.6540 0.2613 0.5957
O 0.1226 0.4088 0.7854
O 0.6226 0.0912 0.2854
Ir 0.5000 0.0000 0.5000
Ca 0.0094 0.9533 0.2728
O 0.8774 0.5912 0.2146
O 0.3460 0.7387 0.4043
Sr 0.5000 0.0000 0.0000
Ca 0.9906 0.0467 0.7272
O 0.2076 0.1614 0.4651
Ca 0.5094 0.5467 0.7728
Ca 0.4906 0.4533 0.2272

## Properties
As for the formation energy from raw total energies: -2.069 eV per atom.


Calculated volume across the listed records, respectively: 155.4, 109.1, 159.0, 130.0, 169.3, 123.9, 124.5, 141.2 Å³/f.u..